No. 1
NdY3: PBEsol geometry, meta-GGA SCAN.

## Properties
Calculated formation energy, eV/atom: 0.013
Energy relative to the lowest polymorph listed for this composition, meV per atom: 0

a = 5.6485 Å, b = 7.1796 Å, c = 7.1796 Å
α = 120.00°, β = 90.00°, γ = 90.00°
Atoms (fractional coordinates):
Y 0.7500 0.8337 0.1663
Y 0.2500 0.1663 0.8337
Y 0.2500 0.6673 0.8337
Y 0.7500 0.3327 0.1663
Y 0.2500 0.1663 0.3327
Y 0.7500 0.8337 0.6673
Nd 0.7500 0.3333 0.6667
Nd 0.2500 0.6667 0.3333

---

No. 2
MnCuC2: PBEsol geometry, meta-GGA SCAN.

## Properties
Calculated formation energy, eV/atom: 1.438

a = 3.5873 Å, b = 3.5873 Å, c = 3.5873 Å
α = 60.00°, β = 60.00°, γ = 60.00°
Atoms (fractional coordinates):
Mn 0.0000 0.0000 0.0000
C 0.7500 0.7500 0.7500
C 0.2500 0.2500 0.2500
Cu 0.5000 0.5000 0.5000

---

No. 3
InIrI3: PBEsol geometry, meta-GGA SCAN.

## Properties
Formation energy (no corrections), meV/atom: 133

a = 5.3736 Å, b = 5.3736 Å, c = 5.3736 Å
α = 90.00°, β = 90.00°, γ = 90.00°
Atoms (fractional coordinates):
Ir 0.0000 0.0000 0.0000
In 0.5000 0.5000 0.5000
I 0.5000 0.0000 0.0000
I 0.0000 0.0000 0.5000
I 0.0000 0.5000 0.0000

---

No. 4
K2LiFe: PBEsol geometry, meta-GGA SCAN.

## Properties
Calculated formation energy, eV/atom: 0.791
Energy relative to the lowest polymorph listed for this composition, meV per atom: 110

a = 6.5645 Å, b = 7.3875 Å, c = 7.3875 Å
α = 78.61°, β = 63.62°, γ = 63.62°
Atoms (fractional coordinates):
K 0.3750 0.5167 0.9833
K 0.6417 0.9833 0.4833
K 0.8750 0.4833 0.0167
K 0.1083 0.0167 0.5167
Li 0.2500 0.5000 0.5000
Li 0.5000 0.0000 0.0000
Fe 0.7500 0.5000 0.5000
Fe 0.0000 0.0000 0.0000

---

No. 5
Ti2AlO4: PBEsol geometry, meta-GGA SCAN.

## Properties
Formation energy (no corrections), meV/atom: -3053

a = 5.8488 Å, b = 5.8488 Å, c = 5.8488 Å
α = 60.00°, β = 60.00°, γ = 60.00°
Atoms (fractional coordinates):
O 0.3806 0.8731 0.8731
O 0.8694 0.3769 0.3769
O 0.3769 0.8694 0.3769
O 0.8731 0.3806 0.8731
O 0.8731 0.8731 0.8731
O 0.3769 0.3769 0.8694
O 0.8731 0.8731 0.3806
O 0.3769 0.3769 0.3769
Al 0.7500 0.7500 0.7500
Al 0.5000 0.5000 0.5000
Ti 0.1250 0.6250 0.1250
Ti 0.1250 0.1250 0.6250
Ti 0.6250 0.1250 0.1250
Ti 0.1250 0.1250 0.1250

---

No. 6
KBeSi3: PBEsol geometry, meta-GGA SCAN.

## Properties
Formation energy (no corrections), meV/atom: 2773

a = 5.2028 Å, b = 5.2028 Å, c = 5.2028 Å
α = 90.00°, β = 90.00°, γ = 90.00°
Atoms (fractional coordinates):
Be 0.5000 0.5000 0.5000
Si 0.0000 0.0000 0.5000
Si 0.5000 0.0000 0.0000
Si 0.0000 0.5000 0.0000
K 0.0000 0.0000 0.0000

---

No. 7
Ti2HPdS: PBEsol geometry, meta-GGA SCAN.

## Properties
Raw total energy, eV/atom: -15.264

a = 4.3297 Å, b = 4.4611 Å, c = 4.4611 Å
α = 90.00°, β = 90.00°, γ = 90.00°
Atoms (fractional coordinates):
H 0.5000 0.5000 0.5000
S 0.0000 0.0000 0.0000
Ti 0.0000 0.5000 0.0000
Ti 0.0000 0.0000 0.5000
Pd 0.5000 0.0000 0.0000

---

No. 8
ZrSc2Tl: PBEsol geometry, meta-GGA SCAN.

## Properties
Calculated formation energy, eV/atom: -0.261
Energy relative to the lowest polymorph listed for this composition, meV per atom: 30

a = 3.3068 Å, b = 3.3068 Å, c = 8.2046 Å
α = 90.00°, β = 90.00°, γ = 90.00°
Atoms (fractional coordinates):
Sc 0.0000 0.0000 0.7548
Sc 0.0000 0.0000 0.2452
Tl 0.5000 0.5000 0.0000
Zr 0.5000 0.5000 0.5000

---

No. 9
BePt3: PBEsol geometry, meta-GGA SCAN.

## Properties
Calculated formation energy, eV/atom: -0.401

a = 2.7510 Å, b = 4.2829 Å, c = 5.1959 Å
α = 114.34°, β = 105.35°, γ = 90.00°
Atoms (fractional coordinates):
Be 0.0000 0.9162 0.0000
Pt 0.2974 0.7143 0.5949
Pt 0.7026 0.1194 0.4051
Pt 0.5000 0.4167 0.0000

---

No. 10
TiCuSi: PBEsol geometry, meta-GGA SCAN.

## Properties
Formation energy (no corrections), meV/atom: -588

a = 3.7165 Å, b = 6.1257 Å, c = 7.0561 Å
α = 90.00°, β = 90.00°, γ = 90.00°
Atoms (fractional coordinates):
Ti 0.7500 0.9821 0.3161
Ti 0.2500 0.5179 0.8161
Ti 0.7500 0.4821 0.1839
Ti 0.2500 0.0179 0.6839
Cu 0.7500 0.8436 0.9319
Cu 0.2500 0.1564 0.0681
Cu 0.2500 0.6564 0.4319
Cu 0.7500 0.3436 0.5681
Si 0.2500 0.2683 0.3842
Si 0.7500 0.7317 0.6158
Si 0.7500 0.2317 0.8842
Si 0.2500 0.7683 0.1158

---

No. 11
K3La: PBEsol geometry, meta-GGA SCAN.

## Properties
Calculated formation energy, eV/atom: 0.371

a = 3.6917 Å, b = 7.1772 Å, c = 8.0572 Å
α = 90.00°, β = 90.00°, γ = 90.00°
Atoms (fractional coordinates):
K 0.5000 0.0000 0.5170
K 0.0000 0.0000 0.0440
K 0.5000 0.5000 0.8024
La 0.0000 0.5000 0.3032

---

No. 12
TbGaAg: PBEsol geometry, meta-GGA SCAN.

## Properties
Calculated formation energy, eV/atom: -0.585

a = 4.4970 Å, b = 5.6060 Å, c = 5.7589 Å
α = 77.20°, β = 67.02°, γ = 66.35°
Atoms (fractional coordinates):
Tb 0.4645 0.7782 0.2928
Tb 0.5355 0.2218 0.7072
Ag 0.8271 0.6234 0.7224
Ag 0.1729 0.3766 0.2776
Ga 0.1589 0.7968 0.8854
Ga 0.8411 0.2032 0.1146

---

No. 13
CoP4H16N2O16: PBEsol geometry, meta-GGA SCAN.

## Properties
Raw total energy, eV/atom: -7.436

a = 7.0750 Å, b = 7.2678 Å, c = 7.6652 Å
α = 99.47°, β = 108.90°, γ = 90.60°
Atoms (fractional coordinates):
O 0.4341 0.2512 0.4458
O 0.0743 0.2423 0.3571
O 0.2438 0.3715 0.1465
O 0.9390 0.2824 0.7874
O 0.7562 0.6285 0.8535
O 0.7986 0.3843 0.1207
O 0.5659 0.7488 0.5542
O 0.2014 0.6157 0.8793
O 0.2262 0.0225 0.1565
O 0.7651 0.3072 0.4263
O 0.9257 0.7577 0.6429
O 0.2501 0.9504 0.8439
O 0.0610 0.7176 0.2126
O 0.7738 0.9775 0.8435
O 0.7499 0.0496 0.1561
O 0.2349 0.6928 0.5737
Co 0.0000 0.5000 0.0000
H 0.4212 0.7245 0.5714
H 0.7619 0.0124 0.0127
H 0.8777 0.1625 0.8004
H 0.3247 0.4050 0.8316
H 0.1179 0.7010 0.3462
H 0.6753 0.5950 0.1684
H 0.3500 0.1704 0.8158
H 0.1223 0.8375 0.1996
H 0.2381 0.9876 0.9873
H 0.4280 0.2891 0.6753
H 0.5788 0.2755 0.4286
H 0.5720 0.7109 0.3247
H 0.4430 0.6763 0.0897
H 0.8821 0.2990 0.6538
H 0.5570 0.3237 0.9103
H 0.6500 0.8296 0.1842
P 0.2488 0.2235 0.2637
P 0.1636 0.7496 0.7401
P 0.8364 0.2504 0.2599
P 0.7512 0.7765 0.7363
N 0.5845 0.7030 0.1913
N 0.4155 0.2970 0.8087

---

No. 14
ScTl3Co: PBEsol geometry, meta-GGA SCAN.

## Properties
Calculated formation energy, eV/atom: 0.359
Energy relative to the lowest polymorph listed for this composition, meV per atom: 0

a = 4.8891 Å, b = 4.8891 Å, c = 4.8891 Å
α = 90.00°, β = 90.00°, γ = 90.00°
Atoms (fractional coordinates):
Tl 0.0000 0.0000 0.5000
Tl 0.0000 0.5000 0.0000
Tl 0.5000 0.0000 0.0000
Sc 0.5000 0.5000 0.5000
Co 0.0000 0.0000 0.0000

---

No. 15
Na4Al3FeO8: PBEsol geometry, meta-GGA SCAN.

## Properties
Formation energy (no corrections), meV/atom: -2575

a = 5.2579 Å, b = 5.4773 Å, c = 7.0547 Å
α = 90.02°, β = 89.97°, γ = 90.03°
Atoms (fractional coordinates):
O 0.5759 0.3746 0.8258
O 0.0764 0.1055 0.3299
O 0.1722 0.0401 0.9213
O 0.6514 0.4700 0.4197
O 0.5739 0.8760 0.6756
O 0.6719 0.9697 0.0771
O 0.0744 0.6246 0.1581
O 0.1665 0.5405 0.5919
Al 0.0016 0.9378 0.1214
Al 0.4988 0.5650 0.6309
Al 0.5017 0.0640 0.8741
Na 0.0111 0.4248 0.8780
Na 0.5171 0.5718 0.1196
Na 0.0149 0.9308 0.6254
Na 0.5196 0.0677 0.3777
Fe 0.0006 0.4370 0.3736

---

No. 16
CoHg4W: PBEsol geometry, meta-GGA SCAN.

## Properties
Calculated formation energy, eV/atom: 1.250

a = 5.4714 Å, b = 5.4714 Å, c = 5.4714 Å
α = 60.00°, β = 60.00°, γ = 60.00°
Atoms (fractional coordinates):
Hg 0.8751 0.3750 0.3750
Hg 0.3750 0.3750 0.8751
Hg 0.3750 0.8751 0.3750
Hg 0.3750 0.3750 0.3750
Co 0.0000 0.0000 0.0000
W 0.7500 0.7500 0.7500

---

No. 17
K2RbLaHg: PBEsol geometry, meta-GGA SCAN.

## Properties
Calculated formation energy, eV/atom: 0.372

a = 6.4310 Å, b = 6.4310 Å, c = 6.6203 Å
α = 90.00°, β = 90.00°, γ = 90.00°
Atoms (fractional coordinates):
Hg 0.0000 0.0000 0.0000
Rb 0.0000 0.0000 0.5000
La 0.5000 0.5000 0.5000
K 0.0000 0.5000 0.0000
K 0.5000 0.0000 0.0000

---

No. 18
NiPt2Rh: PBEsol geometry, meta-GGA SCAN.

## Properties
Calculated formation energy, eV/atom: -0.088

a = 2.6954 Å, b = 4.6441 Å, c = 4.6244 Å
α = 100.18°, β = 90.00°, γ = 106.87°
Atoms (fractional coordinates):
Rh 0.4947 0.9895 0.4976
Pt 0.0050 0.0100 0.0101
Pt 0.2482 0.4965 0.7419
Ni 0.7520 0.5040 0.2504

---

No. 19
LaInBr2: PBEsol geometry, meta-GGA SCAN.

## Properties
Formation energy (no corrections), meV/atom: -1246
Energy relative to the lowest polymorph listed for this composition, meV per atom: 0

a = 3.7649 Å, b = 5.4180 Å, c = 5.9712 Å
α = 100.62°, β = 90.00°, γ = 110.33°
Atoms (fractional coordinates):
In 0.0000 0.0000 0.5000
La 0.5000 0.0000 0.0000
Br 0.7748 0.5496 0.7760
Br 0.2252 0.4504 0.2240

---

No. 20
BaNi2Se: PBEsol geometry, meta-GGA SCAN.

## Properties
Formation energy (no corrections), meV/atom: 282

a = 3.2961 Å, b = 3.2961 Å, c = 6.7841 Å
α = 90.00°, β = 90.00°, γ = 90.00°
Atoms (fractional coordinates):
Ni 0.0000 0.0000 0.1725
Ni 0.0000 0.0000 0.8275
Ba 0.5000 0.5000 0.5000
Se 0.5000 0.5000 0.0000

---

No. 21
RuPtW2: PBEsol geometry, meta-GGA SCAN.

## Properties
Calculated formation energy, eV/atom: -0.227
Energy relative to the lowest polymorph listed for this composition, meV per atom: 0

a = 3.8845 Å, b = 3.8845 Å, c = 4.7739 Å
α = 114.01°, β = 114.01°, γ = 90.00°
Atoms (fractional coordinates):
Ru 0.5000 0.5000 0.0000
W 0.2500 0.7500 0.5000
W 0.7500 0.2500 0.5000
Pt 0.0000 0.0000 0.0000

---

No. 22
CdSbOs: PBEsol geometry, meta-GGA SCAN.

## Properties
Formation energy (no corrections), meV/atom: 456

a = 3.1410 Å, b = 3.1410 Å, c = 6.9034 Å
α = 90.00°, β = 90.00°, γ = 120.00°
Atoms (fractional coordinates):
Cd 0.0000 0.0000 0.9684
Sb 0.6667 0.3333 0.3778
Os 0.3333 0.6667 0.6538

---

No. 23
ScCd2Ru: PBEsol geometry, meta-GGA SCAN.

## Properties
Calculated formation energy, eV/atom: -0.063

a = 3.0845 Å, b = 4.1932 Å, c = 5.4807 Å
α = 90.00°, β = 90.00°, γ = 90.00°
Atoms (fractional coordinates):
Sc 0.5000 0.5000 0.5000
Cd 0.0000 0.0000 0.7608
Cd 0.0000 0.0000 0.2392
Ru 0.5000 0.5000 0.0000

---

No. 24
MoC: PBEsol geometry, meta-GGA SCAN.

## Properties
Calculated formation energy, eV/atom: 0.089
Energy relative to the lowest polymorph listed for this composition, meV per atom: 194

a = 2.8863 Å, b = 2.8863 Å, c = 5.6784 Å
α = 90.00°, β = 90.00°, γ = 120.00°
Atoms (fractional coordinates):
Mo 0.0000 0.0000 0.0000
Mo 0.0000 0.0000 0.5000
C 0.3333 0.6667 0.7500
C 0.6667 0.3333 0.2500

---

No. 25
CrCu2NiSb: PBEsol geometry, meta-GGA SCAN.

## Properties
Formation energy (no corrections), meV/atom: 882

a = 4.5963 Å, b = 4.6702 Å, c = 4.6702 Å
α = 90.00°, β = 90.00°, γ = 90.00°
Atoms (fractional coordinates):
Cu 0.0000 0.0000 0.5000
Cu 0.0000 0.5000 0.0000
Ni 0.5000 0.0000 0.0000
Cr 0.5000 0.5000 0.5000
Sb 0.0000 0.0000 0.0000

---

No. 26
LiPbAu2: PBEsol geometry, meta-GGA SCAN.

## Properties
Calculated formation energy, eV/atom: -0.290

a = 4.2431 Å, b = 4.2431 Å, c = 5.1067 Å
α = 114.55°, β = 114.55°, γ = 90.00°
Atoms (fractional coordinates):
Au 0.7500 0.2500 0.5000
Au 0.0000 0.0000 0.0000
Li 0.5000 0.5000 0.0000
Pb 0.2500 0.7500 0.5000